TbY9Tm4: relaxed, GGA-PBE.

Lattice parameters (Å, degrees): 11.252 9.676 9.676 120.00 90.00 90.00
Element x y z (fractional)
Tb: 0.250 0.667 0.333
Tb: 0.750 0.333 0.667
Y: 0.026 0.791 0.582
Y: 0.026 0.791 0.209
Y: 0.026 0.418 0.209
Y: 0.974 0.209 0.418
Y: 0.974 0.209 0.791
Y: 0.974 0.582 0.791
Y: 0.526 0.209 0.418
Y: 0.526 0.209 0.791
Y: 0.526 0.582 0.791
Y: 0.474 0.791 0.582
Y: 0.474 0.791 0.209
Y: 0.474 0.418 0.209
Y: 0.250 0.459 0.919
Y: 0.250 0.459 0.541
Y: 0.250 0.081 0.541
Y: 0.750 0.541 0.081
Y: 0.750 0.541 0.459
Y: 0.750 0.919 0.459
Tm: 0.250 0.110 0.220
Tm: 0.250 0.110 0.890
Tm: 0.250 0.780 0.890
Tm: 0.750 0.890 0.780
Tm: 0.750 0.890 0.110
Tm: 0.750 0.220 0.110
Tm: 0.000 0.000 0.000
Tm: 0.500 0.000 0.000

Crystal system: hexagonal
Total DFT energy (no corrections) in eV/atom: -5.5989
Magnetic moment in μB per formula unit: 0.00